Below is a relaxed structure of Li3AcSe4O12, with properties calculated at the PBE-GGA level.

Unit cell a=6.856 b=6.856 c=6.856 alpha=105.66 beta=105.66 gamma=105.66
Sites, in units of the cell vectors:
1 Li 0.000 0.572 0.428
2 Li 0.428 0.000 0.572
3 Li 0.572 0.428 0.000
4 Ac 0.000 0.000 0.000
5 Se 0.106 0.500 0.894
6 Se 0.500 0.500 0.500
7 Se 0.500 0.894 0.106
8 Se 0.894 0.106 0.500
9 O 0.004 0.658 0.745
10 O 0.049 0.951 0.500
11 O 0.255 0.342 0.996
12 O 0.342 0.996 0.255
13 O 0.349 0.651 0.500
14 O 0.500 0.049 0.951
15 O 0.500 0.349 0.651
16 O 0.651 0.500 0.349
17 O 0.658 0.745 0.004
18 O 0.745 0.004 0.658
19 O 0.951 0.500 0.049
20 O 0.996 0.255 0.342

Formation energy from raw total energies = -1.083 eV/atom
Calculated density = 4.520 g cm⁻³
Spin magnetization = 0.00 Bohr magnetons per cell
N(E_F) = 4.941 states/eV/cell


Below is a relaxed structure of SnBi3Cl2O6, with properties calculated at the PBE-GGA level.

Unit cell a=6.858 b=6.858 c=5.706 alpha=99.15 beta=99.15 gamma=59.26
Sites, in units of the cell vectors:
1 Sn 0.000 0.000 0.000
2 Bi 0.000 0.500 0.000
3 Bi 0.500 0.000 0.000
4 Bi 0.500 0.500 0.500
5 Cl 0.292 0.292 0.643
6 Cl 0.708 0.708 0.357
7 O 0.166 0.166 0.177
8 O 0.180 0.690 0.205
9 O 0.310 0.820 0.795
10 O 0.690 0.180 0.205
11 O 0.820 0.310 0.795
12 O 0.834 0.834 0.823

Formation energy from raw total energies = -0.938 eV/atom
Calculated density = 6.682 g cm⁻³
Spin magnetization = 0.66 Bohr magnetons per cell
N(E_F) = 6.634 states/eV/cell


Below is a relaxed structure of SiBP2Au, with properties calculated at the PBE-GGA level.

Unit cell a=3.313 b=4.153 c=6.134 alpha=71.10 beta=87.02 gamma=82.98
Sites, in units of the cell vectors:
1 Si 0.000 0.000 0.000
2 B 0.252 0.791 0.751
3 P 0.438 0.367 0.997
4 P 0.752 0.903 0.566
5 Au 0.740 0.529 0.320

Formation energy from raw total energies = 0.048 eV/atom
Polymorph energy (0 for the lowest one) = 152 meV/atom
Calculated density = 6.242 g cm⁻³
Spin magnetization = 0.00 Bohr magnetons per cell
N(E_F) = 0.764 states/eV/cell


Below is a relaxed structure of Ti2PPb, with properties calculated at the PBE-GGA level.

Unit cell a=4.663 b=4.663 c=4.663 alpha=60.00 beta=60.00 gamma=60.00
Sites, in units of the cell vectors:
1 Ti 0.250 0.250 0.250
2 Ti 0.750 0.750 0.750
3 P 0.000 0.000 0.000
4 Pb 0.500 0.500 0.500

Calculated formation energy = -0.02 eV/atom
Polymorph energy (0 for the lowest one) = 196 meV/atom
Calculated density = 7.734 g cm⁻³
Spin magnetization = 0.45 Bohr magnetons per cell
N(E_F) = 7.578 states/eV/cell


Below is a relaxed structure of PmPaAs2O8, with properties calculated at the PBE-GGA level.

Unit cell a=6.126 b=6.126 c=6.126 alpha=107.71 beta=107.71 gamma=113.06
Sites, in units of the cell vectors:
1 Pm 0.000 0.000 0.000
2 Pa 0.250 0.750 0.500
3 As 0.500 0.500 0.000
4 As 0.750 0.250 0.500
5 O 0.297 0.095 0.798
6 O 0.297 0.500 0.202
7 O 0.403 0.079 0.323
8 O 0.500 0.703 0.798
9 O 0.756 0.079 0.677
10 O 0.905 0.703 0.202
11 O 0.921 0.244 0.323
12 O 0.921 0.597 0.677

Formation energy from raw total energies = -2.344 eV/atom
Calculated density = 6.152 g cm⁻³
Spin magnetization = 0.00 Bohr magnetons per cell
N(E_F) = 0.000 states/eV/cell


Below is a relaxed structure of NpBeGe2, with properties calculated at the PBE-GGA level.

Unit cell a=4.137 b=4.137 c=4.068 alpha=90.00 beta=90.00 gamma=90.00
Sites, in units of the cell vectors:
1 Np 0.000 0.000 0.000
2 Be 0.500 0.500 0.000
3 Ge 0.000 0.500 0.500
4 Ge 0.500 0.000 0.500

Calculated formation energy = 0.00 eV/atom
Polymorph energy (0 for the lowest one) = 0 meV/atom
Calculated density = 9.333 g cm⁻³
Spin magnetization = 3.60 Bohr magnetons per cell
N(E_F) = 7.393 states/eV/cell


Below is a relaxed structure of Dy5Y8Pu, with properties calculated at the PBE-GGA level.

Unit cell a=8.422 b=8.422 c=8.422 alpha=106.80 beta=106.80 gamma=114.96
Sites, in units of the cell vectors:
1 Dy 0.000 0.000 0.000
2 Dy 0.214 0.300 0.770
3 Dy 0.529 0.444 0.230
4 Dy 0.556 0.786 0.086
5 Dy 0.700 0.471 0.914
6 Y 0.134 0.535 0.093
7 Y 0.401 0.090 0.365
8 Y 0.442 0.041 0.907
9 Y 0.465 0.558 0.599
10 Y 0.725 0.036 0.635
11 Y 0.910 0.275 0.311
12 Y 0.959 0.866 0.401
13 Y 0.964 0.599 0.689
14 Pu 0.250 0.750 0.500

Calculated formation energy = 0.29 eV/atom
Calculated density = 6.428 g cm⁻³
Spin magnetization = 5.65 Bohr magnetons per cell
N(E_F) = 24.875 states/eV/cell


Below is a relaxed structure of SrMoPt, with properties calculated at the PBE-GGA level.

Unit cell a=2.965 b=5.275 c=8.203 alpha=90.01 beta=90.01 gamma=93.88
Sites, in units of the cell vectors:
1 Sr 0.000 0.000 0.000
2 Sr 0.002 0.500 0.737
3 Mo 0.053 0.782 0.367
4 Mo 0.948 0.219 0.367
5 Pt 0.500 0.500 0.143
6 Pt 0.501 0.000 0.632

Calculated formation energy = 0.04 eV/atom
Polymorph energy (0 for the lowest one) = 175 meV/atom
Calculated density = 9.824 g cm⁻³
Spin magnetization = 0.00 Bohr magnetons per cell
N(E_F) = 4.579 states/eV/cell